# 1
{
  "formula": "KBaSi",
  "functional": "PBE",
  "state": "optimized geometry",
  "lattice_angstrom": [[4.652, -3.230, 0.000], [4.652, 3.230, 0.000], [-1.877, 0.000, 7.775]],
  "species": ["K", "K", "Ba", "Ba", "Si", "Si"],
  "frac_coords": [[0.000, 0.500, 0.000], [0.500, 0.000, 0.000], [0.165, 0.165, 0.436], [0.835, 0.835, 0.564], [0.487, 0.487, 0.343], [0.513, 0.513, 0.657]],
  "final_energy_ev_per_atom": -2.78,
  "raw_formation_energy_kj_per_mol_atoms": 3,
  "de_polymorph_ev_per_atom": 0.277
}

# 2
{
  "formula": "NaZrTeS",
  "functional": "PBE",
  "state": "optimized geometry",
  "lattice_angstrom": [[1.926, 1.112, 7.518], [-1.926, 1.112, 7.518], [0.000, -2.224, 7.518]],
  "species": ["Na", "Zr", "Te", "S"],
  "frac_coords": [[0.000, 0.000, 0.000], [0.190, 0.190, 0.190], [0.772, 0.772, 0.772], [0.588, 0.588, 0.588]],
  "final_energy_ev_per_atom": -5.45,
  "raw_formation_energy_kj_per_mol_atoms": -112
}

# 3
{
  "formula": "BeCdHg2",
  "functional": "PBE",
  "state": "optimized geometry",
  "lattice_angstrom": [[-2.210, 2.210, 4.085], [2.210, -2.210, 4.085], [2.210, 2.210, -4.085]],
  "species": ["Be", "Cd", "Hg", "Hg"],
  "frac_coords": [[0.000, 0.000, 0.000], [0.500, 0.500, 0.000], [0.250, 0.750, 0.500], [0.750, 0.250, 0.500]],
  "final_energy_ev_per_atom": -0.88,
  "de_polymorph_ev_per_atom": 0.205,
  "formation_energy_ev_per_atom": 0.4344
}

# 4
{
  "formula": "Ag3IBr2",
  "functional": "PBE",
  "state": "optimized geometry",
  "lattice_angstrom": [[-2.274, 6.810, 3.198], [2.274, -6.810, 3.198], [2.274, 6.810, -3.198]],
  "species": ["Ag", "Ag", "Ag", "I", "Br", "Br"],
  "frac_coords": [[0.000, 0.000, 0.000], [0.354, 0.023, 0.331], [0.693, 0.023, 0.669], [0.265, 0.765, 0.500], [0.596, 0.765, 0.831], [0.934, 0.765, 0.169]],
  "final_energy_ev_per_atom": -2.55,
  "raw_formation_energy_kj_per_mol_atoms": -30
}

# 5
{
  "formula": "Tb3PmNd2Se6",
  "functional": "PBE",
  "state": "optimized geometry",
  "lattice_angstrom": [[9.087, -2.064, 0.000], [9.087, 2.064, 0.000], [-2.064, 0.000, 8.129]],
  "species": ["Tb", "Tb", "Tb", "Pm", "Nd", "Nd", "Se", "Se", "Se", "Se", "Se", "Se"],
  "frac_coords": [[0.000, 0.000, 0.000], [0.333, 0.333, 0.667], [0.667, 0.667, 0.333], [0.000, 0.000, 0.500], [0.333, 0.333, 0.167], [0.667, 0.667, 0.833], [0.164, 0.164, 0.090], [0.168, 0.168, 0.576], [0.497, 0.497, 0.755], [0.503, 0.503, 0.245], [0.832, 0.832, 0.424], [0.836, 0.836, 0.910]],
  "final_energy_ev_per_atom": -5.90,
  "raw_formation_energy_kj_per_mol_atoms": -174
}

# 6
{
  "formula": "Ac4Pd2Ru",
  "functional": "PBE",
  "state": "optimized geometry",
  "lattice_angstrom": [[7.725, -2.257, 0.000], [7.725, 2.257, 0.000], [-3.364, 0.000, 6.566]],
  "species": ["Ac", "Ac", "Ac", "Ac", "Pd", "Pd", "Ru"],
  "frac_coords": [[0.114, 0.114, 0.280], [0.372, 0.372, 0.206], [0.628, 0.628, 0.794], [0.886, 0.886, 0.720], [0.257, 0.257, 0.751], [0.743, 0.743, 0.249], [0.500, 0.500, 0.000]],
  "final_energy_ev_per_atom": -5.65,
  "de_polymorph_ev_per_atom": 0.000,
  "formation_energy_ev_per_atom": -0.4939
}

# 7
{
  "formula": "Pr4TlI5",
  "functional": "PBE",
  "state": "optimized geometry",
  "lattice_angstrom": [[9.852, -2.233, 0.000], [9.852, 2.233, 0.000], [-1.845, 0.000, 9.102]],
  "species": ["Pr", "Pr", "Pr", "Pr", "Tl", "I", "I", "I", "I", "I"],
  "frac_coords": [[0.002, 0.002, 0.232], [0.341, 0.341, 0.930], [0.659, 0.659, 0.070], [0.998, 0.998, 0.768], [0.500, 0.500, 0.000], [0.169, 0.169, 0.327], [0.170, 0.170, 0.817], [0.500, 0.500, 0.500], [0.830, 0.830, 0.183], [0.831, 0.831, 0.673]],
  "final_energy_ev_per_atom": -4.00,
  "raw_formation_energy_kj_per_mol_atoms": -104
}

# 8
{
  "formula": "Cs3PrSc2Te6",
  "functional": "PBE",
  "state": "optimized geometry",
  "lattice_angstrom": [[3.886, -6.731, 0.000], [3.886, 6.731, 0.000], [-2.600, 0.000, 8.881]],
  "species": ["Cs", "Cs", "Cs", "Pr", "Sc", "Sc", "Te", "Te", "Te", "Te", "Te", "Te"],
  "frac_coords": [[0.000, 0.000, 0.000], [0.339, 0.661, 0.000], [0.661, 0.339, 0.000], [0.500, 0.500, 0.500], [0.167, 0.833, 0.500], [0.833, 0.167, 0.500], [0.084, 0.438, 0.314], [0.207, 0.207, 0.683], [0.438, 0.084, 0.314], [0.562, 0.916, 0.686], [0.793, 0.793, 0.317], [0.916, 0.562, 0.686]],
  "final_energy_ev_per_atom": -4.52,
  "raw_formation_energy_kj_per_mol_atoms": -124
}

# 9
{
  "formula": "Ce5TlHg",
  "functional": "PBE",
  "state": "optimized geometry",
  "lattice_angstrom": [[7.554, -3.208, 0.000], [7.554, 3.208, 0.000], [-5.853, 0.000, 8.057]],
  "species": ["Ce", "Ce", "Ce", "Ce", "Ce", "Ce", "Ce", "Ce", "Ce", "Ce", "Tl", "Tl", "Hg", "Hg"],
  "frac_coords": [[0.004, 0.996, 0.750], [0.107, 0.718, 0.898], [0.113, 0.497, 0.374], [0.282, 0.893, 0.602], [0.497, 0.113, 0.874], [0.503, 0.887, 0.126], [0.718, 0.107, 0.398], [0.887, 0.503, 0.626], [0.893, 0.282, 0.102], [0.996, 0.004, 0.250], [0.484, 0.516, 0.250], [0.516, 0.484, 0.750], [0.000, 0.500, 0.000], [0.500, 0.000, 0.500]],
  "final_energy_ev_per_atom": -4.63,
  "formation_energy_ev_per_atom": -0.0140
}

# 10
{
  "formula": "Ba3GaSi4",
  "functional": "PBE",
  "state": "optimized geometry",
  "lattice_angstrom": [[-2.607, 2.835, 8.508], [2.607, -2.835, 8.508], [2.607, 2.835, -8.508]],
  "species": ["Ba", "Ba", "Ba", "Ga", "Si", "Si", "Si", "Si"],
  "frac_coords": [[0.000, 0.000, 0.000], [0.307, 0.807, 0.500], [0.693, 0.193, 0.500], [0.500, 0.500, 0.000], [0.090, 0.386, 0.704], [0.317, 0.614, 0.704], [0.683, 0.386, 0.296], [0.910, 0.614, 0.296]],
  "final_energy_ev_per_atom": -4.02,
  "raw_formation_energy_kj_per_mol_atoms": -20
}

# 11
{
  "formula": "Mg2ScV",
  "functional": "PBE",
  "state": "optimized geometry",
  "lattice_angstrom": [[-3.883, 3.883, 2.865], [3.883, -3.883, 2.865], [3.883, 3.883, -2.865]],
  "species": ["Mg", "Mg", "Mg", "Mg", "Sc", "Sc", "V", "V"],
  "frac_coords": [[0.102, 0.625, 0.977], [0.375, 0.352, 0.477], [0.648, 0.125, 0.023], [0.875, 0.898, 0.523], [0.250, 0.750, 0.500], [0.500, 0.500, 0.000], [0.000, 0.000, 0.000], [0.750, 0.250, 0.500]],
  "final_energy_ev_per_atom": -4.07,
  "de_polymorph_ev_per_atom": 0.313,
  "formation_energy_ev_per_atom": 0.5941
}

# 12
{
  "formula": "NaSeS2Cl",
  "functional": "PBE",
  "state": "optimized geometry",
  "lattice_angstrom": [[4.851, 0.000, 0.000], [0.000, 4.851, 0.000], [0.000, 0.000, 5.239]],
  "species": ["Na", "Se", "S", "S", "Cl"],
  "frac_coords": [[0.000, 0.000, 0.000], [0.500, 0.500, 0.500], [0.000, 0.500, 0.500], [0.500, 0.000, 0.500], [0.500, 0.500, 0.000]],
  "final_energy_ev_per_atom": -3.11,
  "raw_formation_energy_kj_per_mol_atoms": -12,
  "de_polymorph_ev_per_atom": 0.000
}